Entry 1:
The following is a PBE-GGA calculation of Ac2MgZn after structural relaxation, from the Alexandria database.

Cell lengths 8.0139, 8.0139, 8.0139 Å; angles 90.00, 90.00, 90.00 degrees
Space group Fm-3m (No. 225)
Asymmetric unit:
Ac: 0.2500 0.2500 0.2500 [8 per cell]
Mg: 0.0000 0.0000 0.0000 [4 per cell]
Zn: 0.0000 0.0000 0.5000 [4 per cell]

Energy relative to the lowest polymorph listed for this composition (meV per atom): 23
V (Å³ per atom): 32.17
Energy of formation from the pure elements (eV per atom): -0.133
M_tot (μB per formula unit): 0.000

***

Entry 2:
The following is a PBE-GGA calculation of TmAl2Pt after structural relaxation, from the Alexandria database.

Cell lengths 15.7242, 6.9432, 5.4843 Å; angles 90.00, 90.00, 90.00 degrees
Space group Pnma (No. 62)
Asymmetric unit:
Tm: 0.1066 0.2500 0.2348 [4 per cell]
Tm: 0.1436 0.7500 0.4699 [4 per cell]
Al: 0.0347 0.0529 0.7438 [8 per cell]
Al: 0.2129 0.5552 0.9593 [8 per cell]
Pt: 0.0717 0.7500 0.9894 [4 per cell]
Pt: 0.1763 0.2500 0.7189 [4 per cell]

V (Å³ per atom): 18.71
Energy of formation from the pure elements (eV per atom): -0.971
M_tot (μB per formula unit): 0.000

***

Entry 3:
The following is a PBE-GGA calculation of Li2In3 after structural relaxation, from the Alexandria database.

Cell lengths 7.0934, 7.0934, 4.2931 Å; angles 90.00, 90.00, 90.00 degrees
Space group P4/m (No. 83)
Asymmetric unit:
Li: 0.1104 0.7015 0.0000 [4 per cell]
In: 0.0000 0.0000 0.5000 [1 per cell]
In: 0.1880 0.3920 0.5000 [4 per cell]
In: 0.5000 0.5000 0.0000 [1 per cell]

Energy relative to the lowest polymorph listed for this composition (meV per atom): 0
V (Å³ per atom): 21.60
Energy of formation from the pure elements (eV per atom): -0.207
M_tot (μB per formula unit): 0.000

***

Entry 4:
The following is a PBE-GGA calculation of FeMo2 after structural relaxation, from the Alexandria database.

Cell lengths 5.2838, 4.3099, 7.6373 Å; angles 90.00, 90.00, 90.00 degrees
Space group Pnma (No. 62)
Asymmetric unit:
Fe: 0.1750 0.2500 0.0722 [4 per cell]
Mo: 0.0189 0.2500 0.7475 [4 per cell]
Mo: 0.1781 0.2500 0.4133 [4 per cell]

V (Å³ per atom): 14.49
Energy of formation from the pure elements (eV per atom): 0.183
M_tot (μB per formula unit): 1.893

***

Entry 5:
The following is a PBE-GGA calculation of LiNiIr2 after structural relaxation, from the Alexandria database.

Cell lengths 4.0293, 2.6357, 9.6293 Å; angles 90.00, 90.00, 90.00 degrees
Space group Amm2 (No. 38)
Asymmetric unit:
Li: 0.0000 0.0000 0.0000 [2 per cell]
Ni: 0.5000 0.0000 0.1116 [2 per cell]
Ir: 0.0000 0.0000 0.7438 [2 per cell]
Ir: 0.5000 0.0000 0.3710 [2 per cell]

Energy relative to the lowest polymorph listed for this composition (meV per atom): 53
V (Å³ per atom): 12.78
Energy of formation from the pure elements (eV per atom): -0.022
M_tot (μB per formula unit): 0.000

***

Entry 6:
The following is a PBE-GGA calculation of K3CaTl2Br6 after structural relaxation, from the Alexandria database.

Cell lengths 9.1457, 13.4843, 7.8500 Å; angles 90.00, 113.25, 90.00 degrees
Space group C2/m (No. 12)
Asymmetric unit:
K: 0.0000 0.0000 0.0000 [2 per cell]
K: 0.0000 0.3152 0.0000 [4 per cell]
Ca: 0.0000 0.5000 0.5000 [2 per cell]
Tl: 0.0000 0.1392 0.5000 [4 per cell]
Br: 0.1780 0.5000 0.2670 [4 per cell]
Br: 0.2129 0.3432 0.7371 [8 per cell]

V (Å³ per atom): 37.06
Formation energy from raw total energies (meV per atom): -1398.7
M_tot (μB per formula unit): 0.011

***

Entry 7:
The following is a PBE-GGA calculation of Ba2CaRh after structural relaxation, from the Alexandria database.

Cell lengths 4.3469, 4.3469, 32.1512 Å; angles 90.00, 90.00, 120.00 degrees
Space group R-3m (No. 166, hexagonal axes)
Asymmetric unit:
Ba: 0.0000 0.0000 0.2211 [6 per cell]
Ca: 0.0000 0.0000 0.0000 [3 per cell]
Rh: 0.0000 0.0000 0.5000 [3 per cell]

Energy relative to the lowest polymorph listed for this composition (meV per atom): 194
V (Å³ per atom): 43.84
Energy of formation from the pure elements (eV per atom): -0.020
M_tot (μB per formula unit): 0.000

***

Entry 8:
The following is a PBE-GGA calculation of TaTl4As after structural relaxation, from the Alexandria database.

Cell lengths 8.5280, 8.5280, 8.5280 Å; angles 90.00, 90.00, 90.00 degrees
Space group F-43m (No. 216)
Asymmetric unit:
Ta: 0.0000 0.0000 0.0000 [4 per cell]
Tl: 0.1253 0.1253 0.6253 [16 per cell]
As: 0.2500 0.2500 0.2500 [4 per cell]

V (Å³ per atom): 25.84
Energy of formation from the pure elements (eV per atom): 0.996
M_tot (μB per formula unit): 0.000

***

Entry 9:
The following is a PBE-GGA calculation of GaSiHg3 after structural relaxation, from the Alexandria database.

Cell lengths 5.1975, 5.1975, 5.1975 Å; angles 90.00, 90.00, 90.00 degrees
Space group Pm-3m (No. 221)
Asymmetric unit:
Ga: 0.0000 0.0000 0.0000 [1 per cell]
Si: 0.5000 0.5000 0.5000 [1 per cell]
Hg: 0.0000 0.5000 0.5000 [3 per cell]

Energy relative to the lowest polymorph listed for this composition (meV per atom): 0
V (Å³ per atom): 28.08
Formation energy from raw total energies (meV per atom): 351.5
M_tot (μB per formula unit): 0.000

***

Entry 10:
The following is a PBE-GGA calculation of Cs2MnGeTe4 after structural relaxation, from the Alexandria database.

Cell lengths 7.3177, 13.5540, 27.3698 Å; angles 90.00, 90.00, 90.00 degrees
Space group Fddd (No. 70, origin choice 2)
Asymmetric unit:
Cs: 0.1250 0.1250 0.3082 [16 per cell]
Mn: 0.1250 0.1250 0.1250 [8 per cell]
Ge: 0.1250 0.1250 0.6250 [8 per cell]
Te: 0.1108 0.2898 0.4317 [32 per cell]

V (Å³ per atom): 42.42
Formation energy from raw total energies (meV per atom): -523.4
M_tot (μB per formula unit): 2.973

***

Entry 11:
The following is a PBE-GGA calculation of Zn2CoSi after structural relaxation, from the Alexandria database.

Cell lengths 9.0761, 9.0761, 4.2458 Å; angles 90.00, 90.00, 90.00 degrees
Space group I-42d (No. 122)
Asymmetric unit:
Zn: 0.0009 0.2500 0.1250 [8 per cell]
Co: 0.0000 0.0000 0.0000 [4 per cell]
Si: 0.0000 0.0000 0.5000 [4 per cell]

V (Å³ per atom): 21.86
Formation energy from raw total energies (meV per atom): 209.3
M_tot (μB per formula unit): 0.000

***

Entry 12:
The following is a PBE-GGA calculation of ScReS2 after structural relaxation, from the Alexandria database.

Cell lengths 6.1935, 6.1935, 6.1935 Å; angles 90.00, 90.00, 90.00 degrees
Space group Fm-3m (No. 225)
Asymmetric unit:
Sc: 0.0000 0.0000 0.0000 [4 per cell]
Re: 0.0000 0.0000 0.5000 [4 per cell]
S: 0.2500 0.2500 0.2500 [8 per cell]

Energy relative to the lowest polymorph listed for this composition (meV per atom): 138
V (Å³ per atom): 14.85
Formation energy from raw total energies (meV per atom): -410.9
M_tot (μB per formula unit): 0.733